1.
This record from Alexandria via LeMat-Bulk describes a relaxed La3HgPt crystal. The functional is PBE.

Summary:
spin magnetization	0.0	μB/cell
excess energy over the best structure of this formula in the dataset	0	meV per atom
electronic total energy	-4.911	eV/atom
ΔE_f	-0.69	eV per atom

abc: 7.6922 5.1008 15.3881
angles: 90.00 90.00 90.00
Space group Pnma (No. 62)
One atom of each set of equivalent atoms:
1 La 0.0024 0.2500 0.1078 x4
2 La 0.1324 0.7500 0.4669 x4
3 La 0.1816 0.2500 0.7232 x4
4 Hg 0.0892 0.2500 0.3239 x4
5 Pt 0.2034 0.7500 0.0493 x4

***

2.
This record from Alexandria via LeMat-Bulk describes a relaxed LaHg4Pt crystal. The functional is PBE.

Summary:
spin magnetization	0.0	μB/cell
electronic total energy	-2.139	eV/atom
ΔE_f	-0.11	eV per atom

abc: 8.3116 8.3116 8.3116
angles: 90.00 90.00 90.00
Space group F-43m (No. 216)
One atom of each set of equivalent atoms:
1 La 0.0000 0.0000 0.0000 x4
2 Hg 0.1242 0.1242 0.3758 x16
3 Pt 0.2500 0.2500 0.7500 x4